# PBE SrMn2AlCo, relaxed
data_SrMn2AlCo
_cell_length_a 4.364
_cell_length_b 4.364
_cell_length_c 5.192
_cell_angle_alpha 90.00
_cell_angle_beta 90.00
_cell_angle_gamma 90.00
_symmetry_space_group_name_H-M 'P 4/m m m'
_symmetry_Int_Tables_number 123
_symmetry_space_group_name_Hall '-P 4 2'
loop_
_atom_site_label
_atom_site_type_symbol
_atom_site_fract_x
_atom_site_fract_y
_atom_site_fract_z
Sr1 Sr 0.000 0.000 0.000
Mn1 Mn 0.000 0.500 0.500
Al1 Al 0.500 0.500 0.000
Co1 Co 0.000 0.000 0.500
# energy relative to the elements	587	kJ/mol of formula units
# total moment	0.301	μB per formula unit
# raw total energy	-4.96	eV/atom

# PBE Mn3AlI, relaxed
data_Mn3AlI
_cell_length_a 4.833
_cell_length_b 4.833
_cell_length_c 4.833
_cell_angle_alpha 90.00
_cell_angle_beta 90.00
_cell_angle_gamma 90.00
_symmetry_space_group_name_H-M 'P m -3 m'
_symmetry_Int_Tables_number 221
_symmetry_space_group_name_Hall '-P 4 2 3'
loop_
_atom_site_label
_atom_site_type_symbol
_atom_site_fract_x
_atom_site_fract_y
_atom_site_fract_z
Mn1 Mn 0.000 0.000 0.500
Al1 Al 0.500 0.500 0.500
I1 I 0.000 0.000 0.000
# total moment	9.292	μB per formula unit
# formation energy from raw total energies	1374	meV/atom
# raw total energy	-5.19	eV/atom

# PBE PrNd3Sm3, relaxed
data_PrNd3Sm3
_cell_length_a 10.7923
_cell_length_b 10.7923
_cell_length_c 7.2828
_cell_angle_alpha 90.00
_cell_angle_beta 90.00
_cell_angle_gamma 120.00
_symmetry_space_group_name_H-M 'R 3 m'
_symmetry_Int_Tables_number 160
_symmetry_space_group_name_Hall 'R 3 -2"'
loop_
_atom_site_label
_atom_site_type_symbol
_atom_site_fract_x
_atom_site_fract_y
_atom_site_fract_z
Pr1 Pr 0.0000 0.0000 0.0000
Nd1 Nd 0.1870 0.3740 0.8521
Sm1 Sm 0.2107 0.4215 0.3119
# energy relative to the elements	156	kJ/mol of formula units
# total moment	0.000	μB per formula unit
# raw total energy	-4.52	eV/atom

# PBE Ni7Ge4, relaxed
data_Ni7Ge4
_cell_length_a 3.962
_cell_length_b 10.076
_cell_length_c 6.869
_cell_angle_alpha 90.00
_cell_angle_beta 90.00
_cell_angle_gamma 90.00
_symmetry_space_group_name_H-M 'I m m 2'
_symmetry_Int_Tables_number 44
loop_
_symmetry_equiv_pos_as_xyz
'x,y,z'
'-x,-y,z'
'-x,y,z'
'x,-y,z'
'x+1/2,y+1/2,z+1/2'
'-x+1/2,-y+1/2,z+1/2'
'-x+1/2,y+1/2,z+1/2'
'x+1/2,-y+1/2,z+1/2'
loop_
_atom_site_label
_atom_site_type_symbol
_atom_site_fract_x
_atom_site_fract_y
_atom_site_fract_z
Ni1 Ni 0.000 0.000 0.000
Ni2 Ni 0.000 0.124 0.663
Ni3 Ni 0.000 0.245 0.333
Ni4 Ni 0.000 0.378 0.672
Ge1 Ge 0.000 0.000 0.349
Ge2 Ge 0.000 0.249 0.999
Ge3 Ge 0.000 0.500 0.305
# energy relative to the elements	-303	kJ/mol of formula units
# total moment	0.000	μB per formula unit
# raw total energy	-5.64	eV/atom

# PBE La8Pm4Sm3, relaxed
data_La8Pm4Sm3
_cell_length_a 7.1355
_cell_length_b 7.1355
_cell_length_c 36.7713
_cell_angle_alpha 90.00
_cell_angle_beta 90.00
_cell_angle_gamma 120.00
_symmetry_space_group_name_H-M 'R -3 m'
_symmetry_Int_Tables_number 166
_symmetry_space_group_name_Hall '-R 3 2"'
loop_
_atom_site_label
_atom_site_type_symbol
_atom_site_fract_x
_atom_site_fract_y
_atom_site_fract_z
La1 La 0.0000 0.0000 0.2470
La2 La 0.0021 0.5010 0.2503
Pm1 Pm 0.0000 0.0000 0.0000
Pm2 Pm 0.0000 0.0000 0.3344
Pm3 Pm 0.0000 0.0000 0.5000
Sm1 Sm 0.0000 0.5000 0.5000
# energy relative to the elements	184	kJ/mol of formula units
# total moment	0.000	μB per formula unit
# raw total energy	-4.71	eV/atom

# PBE CsCrRhCl6, relaxed
data_CsCrRhCl6
_cell_length_a 6.479
_cell_length_b 10.744
_cell_length_c 7.881
_cell_angle_alpha 90.00
_cell_angle_beta 91.52
_cell_angle_gamma 90.00
_symmetry_space_group_name_H-M 'C 1 2 1'
_symmetry_Int_Tables_number 5
loop_
_symmetry_equiv_pos_as_xyz
'x,y,z'
'-x,y,-z'
'x+1/2,y+1/2,z'
'-x+1/2,y+1/2,-z'
loop_
_atom_site_label
_atom_site_type_symbol
_atom_site_fract_x
_atom_site_fract_y
_atom_site_fract_z
Cs1 Cs 0.000 0.000 0.000
Cr1 Cr 0.000 0.654 0.500
Rh1 Rh 0.000 0.321 0.500
Cl1 Cl 0.131 0.487 0.671
Cl2 Cl 0.157 0.796 0.687
Cl3 Cl 0.188 0.166 0.657
# total moment	4.000	μB per formula unit
# formation energy from raw total energies	-1055	meV/atom
# raw total energy	-4.27	eV/atom

# PBE YSc2Zn3, relaxed
data_YSc2Zn3
_cell_length_a 3.426
_cell_length_b 3.426
_cell_length_c 10.286
_cell_angle_alpha 90.00
_cell_angle_beta 90.00
_cell_angle_gamma 90.00
_symmetry_space_group_name_H-M 'P 4/m m m'
_symmetry_Int_Tables_number 123
_symmetry_space_group_name_Hall '-P 4 2'
loop_
_atom_site_label
_atom_site_type_symbol
_atom_site_fract_x
_atom_site_fract_y
_atom_site_fract_z
Y1 Y 0.000 0.000 0.000
Sc1 Sc 0.000 0.000 0.340
Zn1 Zn 0.500 0.500 0.187
Zn2 Zn 0.500 0.500 0.500
# energy relative to the elements	-208	kJ/mol of formula units
# total moment	0.001	μB per formula unit
# raw total energy	-4.18	eV/atom

# PBE CaTa2As, relaxed
data_CaTa2As
_cell_length_a 5.885
_cell_length_b 10.529
_cell_length_c 2.977
_cell_angle_alpha 90.00
_cell_angle_beta 119.64
_cell_angle_gamma 90.00
_symmetry_space_group_name_H-M 'C 1 2/m 1'
_symmetry_Int_Tables_number 12
loop_
_symmetry_equiv_pos_as_xyz
'x,y,z'
'-x,-y,-z'
'-x,y,-z'
'x,-y,z'
'x+1/2,y+1/2,z'
'-x+1/2,-y+1/2,-z'
'-x+1/2,y+1/2,-z'
'x+1/2,-y+1/2,z'
loop_
_atom_site_label
_atom_site_type_symbol
_atom_site_fract_x
_atom_site_fract_y
_atom_site_fract_z
Ca1 Ca 0.000 0.000 0.000
Ta1 Ta 0.250 0.250 0.500
As1 As 0.000 0.500 0.000
# energy relative to the elements	133	kJ/mol of formula units
# total moment	0.000	μB per formula unit
# raw total energy	-7.24	eV/atom

# PBE Ba2Ag3Sn, relaxed
data_Ba2Ag3Sn
_cell_length_a 9.295
_cell_length_b 9.756
_cell_length_c 17.072
_cell_angle_alpha 90.00
_cell_angle_beta 90.00
_cell_angle_gamma 90.00
_symmetry_space_group_name_H-M 'F m m m'
_symmetry_Int_Tables_number 69
_symmetry_space_group_name_Hall '-F 2 2'
loop_
_atom_site_label
_atom_site_type_symbol
_atom_site_fract_x
_atom_site_fract_y
_atom_site_fract_z
Ba1 Ba 0.242 0.000 0.000
Ba2 Ba 0.250 0.250 0.250
Ag1 Ag 0.000 0.000 0.167
Ag2 Ag 0.000 0.249 0.417
Sn1 Sn 0.000 0.000 0.334
# energy relative to the elements	-203	kJ/mol of formula units
# total moment	0.000	μB per formula unit
# raw total energy	-3.08	eV/atom

# PBE MnIrRhS, relaxed
data_MnIrRhS
_cell_length_a 4.569
_cell_length_b 2.795
_cell_length_c 4.704
_cell_angle_alpha 90.00
_cell_angle_beta 94.84
_cell_angle_gamma 90.00
_symmetry_space_group_name_H-M 'P 1 m 1'
_symmetry_Int_Tables_number 6
loop_
_symmetry_equiv_pos_as_xyz
'x,y,z'
'x,-y,z'
loop_
_atom_site_label
_atom_site_type_symbol
_atom_site_fract_x
_atom_site_fract_y
_atom_site_fract_z
Mn1 Mn 0.000 0.000 0.000
Ir1 Ir 0.191 0.000 0.502
Rh1 Rh 0.677 0.500 0.565
S1 S 0.624 0.500 0.058
# total moment	2.584	μB per formula unit
# formation energy from raw total energies	165	meV/atom
# raw total energy	-7.21	eV/atom

# PBE CsSr2As2S6, relaxed
data_CsSr2As2S6
_cell_length_a 6.172
_cell_length_b 7.058
_cell_length_c 8.458
_cell_angle_alpha 98.28
_cell_angle_beta 101.75
_cell_angle_gamma 109.12
_symmetry_space_group_name_H-M 'P -1'
_symmetry_Int_Tables_number 2
loop_
_symmetry_equiv_pos_as_xyz
'x,y,z'
'-x,-y,-z'
loop_
_atom_site_label
_atom_site_type_symbol
_atom_site_fract_x
_atom_site_fract_y
_atom_site_fract_z
Cs1 Cs 0.000 0.000 0.000
Sr1 Sr 0.252 0.675 0.342
As1 As 0.424 0.624 0.770
S1 S 0.200 0.557 0.948
S2 S 0.218 0.357 0.551
S3 S 0.401 0.909 0.693
# total moment	0.000	μB per formula unit
# formation energy from raw total energies	-948	meV/atom
# raw total energy	-4.43	eV/atom

# PBE Mn2TlTc, relaxed
data_Mn2TlTc
_cell_length_a 4.241
_cell_length_b 4.241
_cell_length_c 3.621
_cell_angle_alpha 90.00
_cell_angle_beta 90.00
_cell_angle_gamma 90.00
_symmetry_space_group_name_H-M 'P 4/m m m'
_symmetry_Int_Tables_number 123
_symmetry_space_group_name_Hall '-P 4 2'
loop_
_atom_site_label
_atom_site_type_symbol
_atom_site_fract_x
_atom_site_fract_y
_atom_site_fract_z
Mn1 Mn 0.000 0.500 0.000
Tl1 Tl 0.000 0.000 0.500
Tc1 Tc 0.500 0.500 0.500
# energy relative to the elements	195	kJ/mol of formula units
# total moment	7.328	μB per formula unit
# raw total energy	-7.26	eV/atom